A relaxed structure of AcCrCdO6. Source: the Alexandria database, functional PBE+U.

Cell and atoms, written as CIF:
```
data_AcCrCdO6
_space_group_name_H-M_alt 'P 3'
_space_group_IT_number 143
_cell_length_a 5.3521
_cell_length_b 5.3521
_cell_length_c 4.8719
_cell_angle_alpha 90.00
_cell_angle_beta 90.00
_cell_angle_gamma 120.00
loop_
_space_group_symop_operation_xyz
'x,y,z'
'-y,x-y,z'
'-x+y,-x,z'
loop_
_atom_site_label
_atom_site_fract_x
_atom_site_fract_y
_atom_site_fract_z
Ac1 0.0000 0.0000 0.0000
Cr1 0.6667 0.3333 0.4078
Cd1 0.3333 0.6667 0.4373
O1 0.3497 0.0837 0.5764
O2 0.4805 0.4513 0.1291
```

theoretical density = 6.7 g cm⁻³
DFT total energy = -6.1846 eV per atom